(1)
MgZrGa5 | PBE | relaxed

Summary:
Energy = -3.74 eV/atom
Space-group type = Cmcm
Volume = 19.20 A^3/atom

abc: 5.4486 7.8838 7.8838
angles: 127.47 90.00 90.00
Closest atoms and distances in Å follow each position.
Atoms (fractional coordinates):
Mg  0.0000  0.0000  0.0000  2 Mg 2.72, 4 Ga 2.97
Mg  0.5000  0.0000  0.0000  2 Mg 2.72, 4 Ga 2.97
Zr  0.7500  0.4358  0.5642  5 Ga 2.78-3.04
Zr  0.2500  0.5642  0.4358  5 Ga 2.78-3.04
Ga  0.7500  0.6384  0.0006  2 Ga 2.52-2.62, 1 Zr 2.78
Ga  0.7500  0.4156  0.1941  3 Ga 2.64-2.94, 1 Zr 2.82
Ga  0.2500  0.0006  0.6384  2 Ga 2.52-2.62, 1 Zr 2.78
Ga  0.7500  0.2209  0.7791  4 Ga 2.62-2.64
Ga  0.7500  0.8059  0.5844  3 Ga 2.64-2.94, 1 Zr 2.82
Ga  0.2500  0.1941  0.4156  3 Ga 2.64-2.94, 1 Zr 2.82
Ga  0.2500  0.7791  0.2209  4 Ga 2.62-2.64
Ga  0.7500  0.9994  0.3616  2 Ga 2.52-2.62, 1 Zr 2.78
Ga  0.2500  0.5844  0.8059  3 Ga 2.64-2.94, 1 Zr 2.82
Ga  0.2500  0.3616  0.9994  2 Ga 2.52-2.62, 1 Zr 2.78

***

(2)
Si2HgP | PBE | relaxed

Summary:
Relative energy among the computed polymorphs = 1.23 eV per formula unit
E_form (uncorrected) = 0.560 eV per atom
Space-group type = Immm
Volume = 18.67 A^3/atom

abc: 5.3570 5.3570 5.3570
angles: 143.64 123.66 68.92
Closest atoms and distances in Å follow each position.
Atoms (fractional coordinates):
Hg  0.7500  0.2500  0.5000  4 P 3.03, 8 Si 3.07-3.15, 2 Hg 3.34
P  0.2500  0.7500  0.5000  4 Si 2.42
Si  0.0524  0.0524  0.0000  2 P 2.42
Si  0.4476  0.4476  0.0000  2 P 2.42

***

(3)
Pu2ZrAg6 | PBE | relaxed

Summary:
Energy = -6.06 eV/atom
Space-group type = P6/mmm
Volume = 20.67 A^3/atom

abc: 2.9271 8.5663 8.5663
angles: 60.00 89.99 89.99
Closest atoms and distances in Å follow each position.
Atoms (fractional coordinates):
Pu  0.0000  0.3333  0.3333  2 Pu 2.93, 12 Ag 3.23
Pu  0.0000  0.6667  0.6667  2 Pu 2.93, 12 Ag 3.23
Zr  0.0000  0.0000  0.0000  2 Zr 2.93, 12 Ag 3.17
Ag  0.4990  0.6717  0.0000  5 Ag 2.81-2.94
Ag  0.5010  0.0000  0.3283  5 Ag 2.81-2.94
Ag  0.5010  0.3283  0.0000  5 Ag 2.81-2.94
Ag  0.5000  0.6717  0.3283  5 Ag 2.81-2.94
Ag  0.4990  0.0000  0.6717  5 Ag 2.81-2.94
Ag  0.5000  0.3283  0.6717  5 Ag 2.81-2.94

***

(4)
NdBi2Pb | PBE | relaxed

Summary:
Relative energy among the computed polymorphs = 0.58 eV per formula unit
Space-group type = R3m
Volume = 36.48 A^3/atom

abc: 4.8496 4.8496 7.6923
angles: 71.63 71.63 60.00
Closest atoms and distances in Å follow each position.
Atoms (fractional coordinates):
Nd  0.6683  0.6683  0.9950  6 Bi 3.27-3.28
Bi  0.0806  0.0806  0.7582  3 Nd 3.27, 3 Pb 3.30
Bi  0.2556  0.2556  0.2333  3 Nd 3.28, 3 Pb 3.45
Pb  0.4955  0.4955  0.5135  6 Bi 3.30-3.45

***

(5)
Li4Hg4Bi3 | PBE | relaxed

Summary:
Energy = -2.09 eV/atom
Space-group type = Amm2
Volume = 24.26 A^3/atom

abc: 3.4379 7.6411 10.4245
angles: 90.00 90.00 103.00
Closest atoms and distances in Å follow each position.
Atoms (fractional coordinates):
Li  0.7168  0.4336  0.7753  4 Hg 2.88-2.96, 4 Bi 3.03-3.14
Li  0.7168  0.4336  0.2247  4 Hg 2.88-2.96, 4 Bi 3.03-3.14
Li  0.0004  0.0008  0.5000  4 Hg 2.72-3.03
Li  0.9554  0.9108  0.0000  4 Hg 2.80-3.04, 2 Bi 2.92
Hg  0.6683  0.3367  0.5000  4 Li 2.96-3.03
Hg  0.6038  0.2076  0.0000  4 Li 2.80-2.88
Hg  0.0579  0.1158  0.7476  4 Li 2.72-3.04
Hg  0.0579  0.1158  0.2524  4 Li 2.72-3.04
Bi  0.3622  0.7244  0.3441  4 Li 3.03-3.13, 1 Bi 3.25
Bi  0.3622  0.7244  0.6559  4 Li 3.03-3.13, 1 Bi 3.25
Bi  0.2967  0.5933  0.0000  6 Li 2.92-3.14

***

(6)
Ta2CrRh2 | PBE | relaxed

Summary:
Energy = -9.59 eV/atom
Space-group type = P4/mbm
Volume = 16.23 A^3/atom

abc: 7.3706 7.3706 2.9868
angles: 90.00 90.00 90.00
Closest atoms and distances in Å follow each position.
Atoms (fractional coordinates):
Cr  0.0000  0.0000  0.0000  4 Rh 2.89, 2 Cr 2.99, 8 Ta 3.11
Cr  0.5000  0.5000  0.0000  4 Rh 2.89, 2 Cr 2.99, 8 Ta 3.11
Rh  0.3695  0.8695  0.0000  6 Ta 2.54-2.70, 1 Rh 2.72
Rh  0.8695  0.6305  0.0000  6 Ta 2.54-2.70, 1 Rh 2.72
Rh  0.6305  0.1305  0.0000  6 Ta 2.54-2.70, 1 Rh 2.72
Rh  0.1305  0.3695  0.0000  6 Ta 2.54-2.70, 1 Rh 2.72
Ta  0.1718  0.6718  0.5000  6 Rh 2.54-2.70
Ta  0.6718  0.8282  0.5000  6 Rh 2.54-2.70
Ta  0.8282  0.3282  0.5000  6 Rh 2.54-2.70
Ta  0.3282  0.1718  0.5000  6 Rh 2.54-2.70

***

(7)
Mn5As | PBE | relaxed

Summary:
Relative energy among the computed polymorphs = 0.73 eV per formula unit
Space-group type = Amm2
Volume = 11.59 A^3/atom

abc: 6.5101 6.5101 4.0907
angles: 90.00 90.00 156.36
Closest atoms and distances in Å follow each position.
Atoms (fractional coordinates):
Mn  0.3282  0.6718  0.0000  10 Mn 2.39-2.67, 2 As 2.55
Mn  0.6728  0.3272  0.0000  10 Mn 2.39-2.67, 2 As 2.59
Mn  0.4410  0.5590  0.5000  8 Mn 2.47-2.67, 4 As 2.55
Mn  0.7776  0.2224  0.5000  12 Mn 2.44-2.67
Mn  0.1153  0.8847  0.5000  10 Mn 2.46-2.67, 2 As 2.53
As  0.9984  0.0016  0.0000  10 Mn 2.53-2.59, 2 As 2.67

***

(8)
Mg2Zn7Pd | PBE | relaxed

Summary:
Energy = -1.54 eV/atom
Space-group type = Fm-3m
Volume = 21.46 A^3/atom

abc: 6.7202 6.7202 6.7202
angles: 60.00 60.00 60.00
Closest atoms and distances in Å follow each position.
Atoms (fractional coordinates):
Mg  0.2500  0.2500  0.2500  12 Zn 3.36
Mg  0.7500  0.7500  0.7500  12 Zn 3.36
Zn  0.5000  0.5000  0.5000  6 Zn 2.35
Zn  0.2525  0.7475  0.7475  1 Zn 2.35, 1 Pd 2.40
Zn  0.2525  0.7475  0.2525  1 Zn 2.35, 1 Pd 2.40
Zn  0.7475  0.2525  0.7475  1 Zn 2.35, 1 Pd 2.40
Zn  0.7475  0.7475  0.2525  1 Zn 2.35, 1 Pd 2.40
Zn  0.2525  0.2525  0.7475  1 Zn 2.35, 1 Pd 2.40
Zn  0.7475  0.2525  0.2525  1 Zn 2.35, 1 Pd 2.40
Pd  0.0000  0.0000  0.0000  6 Zn 2.40

***

| no. | size of the total moment (μB per formula unit) |
| --- | --- |
| 1 | 0.00 |
| 2 | 0.00 |
| 3 | 11.73 |
| 4 | 0.00 |
| 5 | 0.00 |
| 6 | 0.00 |
| 7 | 1.94 |
| 8 | 0.00 |